Computed, not measured: CaCI2N after structural relaxation at the PBE-GGA level of DFT.

V   35.18 Å³/atom
Formation energy without anion corrections   1571 meV/atom
Energy above the most stable polymorph in this dataset   0.725 eV/atom

Unit cell a=6.1290 b=6.1290 c=4.6821 alpha=90.00 beta=90.00 gamma=90.00
Last column: nearest neighbours and their distance in Å.
Space group P4/mmm (No. 123)
Symmetry-distinct sites (fractional):
Ca1 0.0000 0.0000 0.0000 [1 per cell]  2 N 2.34
C1 0.5000 0.5000 0.5000 [1 per cell]  8 I 3.86
I1 0.0000 0.5000 0.0000 [2 per cell]  2 Ca 3.06
N1 0.0000 0.0000 0.5000 [1 per cell]  2 Ca 2.34